DFT (PBE) results for a relaxed structure of BaNiSnP.

a = 4.1326 Å, b = 4.1326 Å, c = 11.8215 Å
α = 90.00°, β = 90.00°, γ = 90.00°
Fractional coordinates of all 8 atoms:
1 Ba 0.2500 0.2500 0.2270
2 Ba 0.7500 0.7500 0.7730
3 Ni 0.2500 0.7500 0.0000
4 Ni 0.7500 0.2500 0.0000
5 Sn 0.2500 0.7500 0.5000
6 Sn 0.7500 0.2500 0.5000
7 P 0.2500 0.2500 0.9129
8 P 0.7500 0.7500 0.0871

Summary:
Final energy (eV per atom): -4.8806
Symmetry: P4/nmm
ΔE_f (eV per atom): -0.601